Entry 1:
Here is a crystal of MgZrCr relaxed with PBEsol from Alexandria via LeMat-Bulk. Energies are from meta-GGA SCAN.

Cell: 4.522 4.522 4.522 Å, 60.00 60.00 60.00°
Fractional positions:
Mg: 0.000 0.000 0.000
Cr: 0.250 0.250 0.250
Zr: 0.500 0.500 0.500

Computed properties:
Energy of formation: 0.610 eV/atom
D(E_F): 3.361 states/eV/cell



Entry 2:
Here is a crystal of ZnNCl2 relaxed with PBEsol from Alexandria via LeMat-Bulk. Energies are from meta-GGA SCAN.

Cell: 4.481 4.481 4.481 Å, 60.00 60.00 60.00°
Fractional positions:
N: 0.000 0.000 0.000
Cl: 0.250 0.250 0.250
Zn: 0.500 0.500 0.500
Cl: 0.750 0.750 0.750

Computed properties:
E_form (uncorrected): 71 kJ per mole of atoms



Entry 3:
Here is a crystal of SiMoS2 relaxed with PBEsol from Alexandria via LeMat-Bulk. Energies are from meta-GGA SCAN.

Cell: 3.057 3.057 8.415 Å, 79.54 79.54 60.00°
Fractional positions:
Mo: 0.500 0.500 0.500
S: 0.900 0.900 0.301
Si: 0.000 0.000 0.000
S: 0.100 0.100 0.699

Computed properties:
E_form (uncorrected): -13 kJ per mole of atoms
D(E_F): 2.261 states/eV/cell



Entry 4:
Here is a crystal of Zr4IrOs relaxed with PBEsol from Alexandria via LeMat-Bulk. Energies are from meta-GGA SCAN.

Cell: 5.382 5.382 5.382 Å, 60.00 60.00 60.00°
Fractional positions:
Zr: 0.875 0.375 0.375
Zr: 0.375 0.375 0.875
Zr: 0.375 0.875 0.375
Zr: 0.375 0.375 0.375
Os: 0.000 0.000 0.000
Ir: 0.750 0.750 0.750

Computed properties:
Energy of formation: 0.511 eV/atom
D(E_F): 11.635 states/eV/cell



Entry 5:
Here is a crystal of InHg2 relaxed with PBEsol from Alexandria via LeMat-Bulk. Energies are from meta-GGA SCAN.

Cell: 3.332 3.332 6.828 Å, 104.12 104.12 90.00°
Fractional positions:
In: 0.000 0.000 0.000
Hg: 0.669 0.669 0.337
Hg: 0.331 0.331 0.663

Computed properties:
Energy of formation: 0.030 eV/atom
D(E_F): 0.938 states/eV/cell



Entry 6:
Here is a crystal of MnCoSnRh relaxed with PBEsol from Alexandria via LeMat-Bulk. Energies are from meta-GGA SCAN.

Cell: 4.291 4.291 4.291 Å, 60.00 60.00 60.00°
Fractional positions:
Mn: 0.000 0.000 0.000
Rh: 0.750 0.750 0.750
Co: 0.250 0.250 0.250
Sn: 0.500 0.500 0.500

Computed properties:
Energy of formation: -0.435 eV/atom
D(E_F): 1.177 states/eV/cell



Entry 7:
Here is a crystal of La4B14O27 relaxed with PBEsol from Alexandria via LeMat-Bulk. Energies are from meta-GGA SCAN.

Cell: 6.416 6.449 25.245 Å, 84.06 82.70 60.17°
Fractional positions:
B: 0.844 0.736 0.054
O: 0.460 0.690 0.965
O: 0.611 0.033 0.549
B: 0.693 0.789 0.547
O: 0.885 0.190 0.465
O: 0.918 0.820 0.002
B: 0.450 0.834 0.922
B: 0.307 0.211 0.453
O: 0.262 0.358 0.409
O: 0.082 0.180 0.998
B: 0.644 0.740 0.825
O: 0.623 0.974 0.809
O: 0.513 0.259 0.128
B: 0.832 0.848 0.351
La: 0.849 0.247 0.556
B: 0.969 0.348 0.851
O: 0.899 0.241 0.372
B: 0.168 0.152 0.649
B: 0.828 0.111 0.706
B: 0.550 0.166 0.078
O: 0.540 0.310 0.035
O: 0.802 0.250 0.750
O: 0.193 0.467 0.951
B: 0.791 0.240 0.325
O: 0.794 0.818 0.409
B: 0.366 0.236 0.554
O: 0.101 0.759 0.628
O: 0.738 0.642 0.591
O: 0.099 0.411 0.169
B: 0.401 0.319 0.686
La: 0.348 0.747 0.056
O: 0.901 0.589 0.831
B: 0.794 0.334 0.422
O: 0.022 0.682 0.091
B: 0.031 0.652 0.149
B: 0.172 0.889 0.294
O: 0.591 0.606 0.193
B: 0.206 0.666 0.578
O: 0.971 0.858 0.909
O: 0.391 0.894 0.307
O: 0.196 0.172 0.823
O: 0.996 0.148 0.283
O: 0.400 0.071 0.926
O: 0.090 0.785 0.342
O: 0.406 0.526 0.691
La: 0.151 0.753 0.444
La: 0.085 0.847 0.815
O: 0.609 0.106 0.693
O: 0.574 0.648 0.783
B: 0.356 0.260 0.175
O: 0.807 0.533 0.049
O: 0.426 0.352 0.217
O: 0.740 0.680 0.498
B: 0.593 0.819 0.186
B: 0.209 0.760 0.675
B: 0.407 0.181 0.814
La: 0.915 0.153 0.185
O: 0.389 0.967 0.451
O: 0.783 0.285 0.842
B: 0.972 0.289 0.047
O: 0.397 0.429 0.574
O: 0.004 0.852 0.717
O: 0.260 0.320 0.502
O: 0.594 0.474 0.309
O: 0.321 0.911 0.669
La: 0.747 0.653 0.685
B: 0.644 0.389 0.794
O: 0.487 0.741 0.872
B: 0.028 0.711 0.953
O: 0.217 0.715 0.158
O: 0.198 0.750 0.250
O: 0.910 0.215 0.658
La: 0.652 0.253 0.944
O: 0.603 0.571 0.426
O: 0.191 0.328 0.677
O: 0.206 0.182 0.591
O: 0.377 0.026 0.191
O: 0.978 0.318 0.909
O: 0.600 0.929 0.074
O: 0.809 0.672 0.323
B: 0.634 0.764 0.446
B: 0.599 0.681 0.314
B: 0.356 0.611 0.206
O: 0.409 0.394 0.807
O: 0.804 0.828 0.177
O: 0.029 0.142 0.091
O: 0.679 0.089 0.331
La: 0.253 0.347 0.315
O: 0.115 0.810 0.535
B: 0.156 0.264 0.946

Computed properties:
E_form (uncorrected): -289 kJ per mole of atoms
D(E_F): 0.000 states/eV/cell



Entry 8:
Here is a crystal of NiBiMo3 relaxed with PBEsol from Alexandria via LeMat-Bulk. Energies are from meta-GGA SCAN.

Cell: 4.508 4.508 4.508 Å, 90.00 90.00 90.00°
Fractional positions:
Mo: 0.000 0.500 0.000
Mo: 0.000 0.000 0.500
Bi: 0.500 0.500 0.500
Ni: 0.000 0.000 0.000
Mo: 0.500 0.000 0.000

Computed properties:
Energy of formation: 1.303 eV/atom
D(E_F): 6.744 states/eV/cell



Entry 9:
Here is a crystal of ThUC2 relaxed with PBEsol from Alexandria via LeMat-Bulk. Energies are from meta-GGA SCAN.

Cell: 6.176 6.176 6.176 Å, 33.83 33.83 33.83°
Fractional positions:
C: 0.733 0.733 0.733
U: 0.000 0.000 0.000
C: 0.267 0.267 0.267
Th: 0.500 0.500 0.500

Computed properties:
Energy of formation: -0.234 eV/atom
D(E_F): 2.581 states/eV/cell



Entry 10:
Here is a crystal of LaZrAs2 relaxed with PBEsol from Alexandria via LeMat-Bulk. Energies are from meta-GGA SCAN.

Cell: 3.878 4.262 6.003 Å, 90.00 108.85 90.00°
Fractional positions:
La: 0.504 0.000 0.008
As: 0.994 0.500 0.988
Zr: 0.765 0.500 0.530
As: 0.237 0.000 0.473

Computed properties:
Energy of formation: -1.112 eV/atom
Distance to the lowest polymorph of the same formula: 0.386 eV per atom
D(E_F): 2.663 states/eV/cell



Entry 11:
Here is a crystal of Tb2Nb2O7 relaxed with PBEsol from Alexandria via LeMat-Bulk. Energies are from meta-GGA SCAN.

Cell: 7.270 7.270 7.270 Å, 60.00 60.00 60.00°
Fractional positions:
O: 0.471 0.029 0.029
O: 0.779 0.779 0.221
O: 0.029 0.471 0.471
O: 0.779 0.221 0.221
O: 0.750 0.750 0.750
Nb: 0.125 0.125 0.125
O: 0.779 0.221 0.779
O: 0.221 0.779 0.221
Tb: 0.625 0.625 0.625
O: 0.471 0.471 0.029
Tb: 0.625 0.125 0.625
Nb: 0.625 0.125 0.125
Tb: 0.125 0.625 0.625
Tb: 0.625 0.625 0.125
O: 0.471 0.029 0.471
O: 0.500 0.500 0.500
Nb: 0.125 0.125 0.625
O: 0.029 0.471 0.029
Nb: 0.125 0.625 0.125
O: 0.221 0.221 0.779
O: 0.221 0.779 0.779
O: 0.029 0.029 0.471

Computed properties:
E_form (uncorrected): -311 kJ per mole of atoms
D(E_F): 5.010 states/eV/cell



Entry 12:
Here is a crystal of InIr4Pb relaxed with PBEsol from Alexandria via LeMat-Bulk. Energies are from meta-GGA SCAN.

Cell: 5.294 5.294 5.294 Å, 60.00 60.00 60.00°
Fractional positions:
Ir: 0.875 0.375 0.375
In: 0.000 0.000 0.000
Pb: 0.750 0.750 0.750
Ir: 0.375 0.375 0.375
Ir: 0.375 0.375 0.875
Ir: 0.375 0.875 0.375

Computed properties:
Energy of formation: 0.406 eV/atom
D(E_F): 5.024 states/eV/cell